The following is a PBE-GGA calculation of La2Mg3Zn4 after structural relaxation, from the Alexandria database.

Unit cell a=9.0278 b=9.0278 c=7.8292 alpha=90.00 beta=90.00 gamma=139.98
Positions (direct):
La 0.0999 0.9001 0.8992
La 0.4001 0.5999 0.3992
La 0.5999 0.4001 0.6008
La 0.9001 0.0999 0.1008
Mg 0.0000 0.0000 0.5000
Mg 0.0172 0.4828 0.7500
Mg 0.4828 0.0172 0.2500
Mg 0.5000 0.5000 0.0000
Mg 0.5172 0.9828 0.7500
Mg 0.9828 0.5172 0.2500
Zn 0.1642 0.8358 0.5116
Zn 0.1814 0.3186 0.7500
Zn 0.3186 0.1814 0.2500
Zn 0.3358 0.6642 0.0116
Zn 0.6642 0.3358 0.9884
Zn 0.6814 0.8186 0.7500
Zn 0.8186 0.6814 0.2500
Zn 0.8358 0.1642 0.4884

Properties
- Fermi-level density of states (states/eV/f.u.) = 7.1
- energy of formation from the pure elements (eV/atom) = -0.198
- total DFT energy (no corrections) (eV/atom) = -2.39